Record 1
ZrRu PBE optimized geometry; magnetic moment = 0.0 μB per formula unit; energy of formation from the pure elements = -0.37 eV/atom; Fermi-level density of states = 0.6784 states/eV/atom
1.0
-3.656 -0.758 -2.565
5.292 -3.449 -0.190
-0.672 -2.656 1.744
Ru Zr
2 2
direct
0.980 0.977 0.011
0.103 0.523 0.239
0.490 0.994 0.503
0.593 0.506 0.747

=====

Record 2
Zr3Ru PBE optimized geometry; magnetic moment = 0.0 μB per formula unit; energy of formation from the pure elements = -0.07 eV/atom; Fermi-level density of states = 1.1824 states/eV/atom
1.0
-0.094 2.337 -4.422
-5.394 0.880 0.579
1.114 5.077 2.660
Zr Ru
6 2
direct
0.500 0.000 0.614
0.000 0.252 0.862
0.500 0.248 0.138
0.000 0.500 0.386
0.000 0.748 0.862
0.500 0.752 0.138
0.000 0.000 0.349
0.500 0.500 0.651

=====

Record 3
ZrRu PBE optimized geometry; magnetic moment = 0.0 μB per formula unit; energy of formation from the pure elements = -0.19 eV/atom; Fermi-level density of states = 0.6937 states/eV/atom
1.0
-0.475 -3.559 0.510
3.114 -0.664 -1.736
2.819 0.330 4.930
Ru Zr
2 2
direct
0.000 0.000 0.947
0.500 0.500 0.303
0.000 0.000 0.449
0.500 0.500 0.801

=====

Record 4
ZrRu3 PBE optimized geometry; magnetic moment = 0.0 μB per formula unit; energy of formation from the pure elements = -0.13 eV/atom; Fermi-level density of states = 1.4976 states/eV/atom
1.0
0.437 -1.516 8.437
-4.089 -4.017 6.389
3.316 0.470 -7.903
Zr Ru
2 6
direct
0.382 0.382 0.000
0.618 0.618 0.000
0.500 0.000 0.500
0.130 0.130 0.000
0.870 0.870 0.000
0.750 0.250 0.500
0.250 0.750 0.500
0.000 0.500 0.500

=====

Record 5
ZrRu PBE optimized geometry; magnetic moment = 0.0 μB per formula unit; energy of formation from the pure elements = 0.02 eV/atom; Fermi-level density of states = 1.4484 states/eV/atom
1.0
2.885 0.000 0.000
0.000 2.885 0.000
0.000 0.000 8.747
Ru Zr
2 2
direct
0.250 0.250 0.091
0.750 0.750 0.909
0.250 0.250 0.656
0.750 0.750 0.344

=====

Record 6
ZrRu3 PBE optimized geometry; magnetic moment = 0.0 μB per formula unit; energy of formation from the pure elements = -0.14 eV/atom; Fermi-level density of states = 1.0148 states/eV/atom
1.0
4.455 0.000 0.000
0.000 5.070 0.000
0.000 0.000 5.597
Zr Ru
2 6
direct
0.000 0.374 0.000
0.500 0.626 0.500
0.500 0.689 0.000
0.000 0.857 0.260
0.500 0.143 0.240
0.000 0.311 0.500
0.000 0.857 0.740
0.500 0.143 0.760

=====

Record 7
ZrRu3 PBE optimized geometry; magnetic moment = 1.5 μB per formula unit; energy of formation from the pure elements = 0.07 eV/atom; Fermi-level density of states = 1.3086 states/eV/atom
1.0
-1.708 1.317 2.501
2.268 -1.107 2.131
3.010 5.029 -0.592
Ru Zr
3 1
direct
0.000 0.000 0.021
0.000 0.000 0.479
0.500 0.500 0.250
0.500 0.500 0.750

=====

Record 8
Zr3Ru PBE optimized geometry; magnetic moment = 0.0 μB per formula unit; energy of formation from the pure elements = -0.18 eV/atom; Fermi-level density of states = 0.9930 states/eV/atom
1.0
-1.363 0.140 2.904
-3.702 -2.007 -1.640
1.477 -4.920 2.685
Ru Zr
1 3
direct
0.000 0.000 0.000
0.804 0.500 0.770
0.500 0.000 0.500
0.196 0.500 0.230

=====

Record 9
ZrRu3 PBE optimized geometry; magnetic moment = 0.0 μB per formula unit; energy of formation from the pure elements = 0.10 eV/atom; Fermi-level density of states = 1.4098 states/eV/atom
1.0
-2.752 -0.235 0.495
0.958 -0.025 -2.637
0.856 -9.165 0.397
Ru Zr
3 1
direct
0.000 0.000 0.025
0.000 0.000 0.475
0.333 0.667 0.250
0.333 0.667 0.750

=====

Record 10
ZrRu3 PBE optimized geometry; magnetic moment = 3.2 μB per formula unit; energy of formation from the pure elements = 0.07 eV/atom; Fermi-level density of states = 1.6537 states/eV/atom
1.0
-3.092 -2.926 1.463
-2.641 -2.146 -2.947
0.553 -4.408 -0.724
Ru Zr
3 1
direct
0.000 0.000 0.000
0.500 0.500 0.500
0.750 0.750 0.750
0.250 0.250 0.250

=====

Record 11
ZrRu3 PBE optimized geometry; magnetic moment = 0.0 μB per formula unit; energy of formation from the pure elements = -0.17 eV/atom; Fermi-level density of states = 0.8350 states/eV/atom
1.0
5.318 0.000 0.000
0.000 8.927 0.000
0.000 0.000 5.369
Ru Zr
12 4
direct
0.919 0.250 0.918
0.313 0.984 0.329
0.313 0.516 0.329
0.187 0.484 0.829
0.187 0.016 0.829
0.581 0.750 0.418
0.419 0.250 0.582
0.813 0.984 0.171
0.813 0.516 0.171
0.687 0.484 0.671
0.687 0.016 0.671
0.081 0.750 0.082
0.055 0.750 0.583
0.445 0.250 0.083
0.555 0.750 0.917
0.945 0.250 0.417

=====

Record 12
ZrRu PBE optimized geometry; magnetic moment = 0.0 μB per formula unit; energy of formation from the pure elements = 0.23 eV/atom; Fermi-level density of states = 1.6652 states/eV/atom
1.0
9.403 0.000 0.000
-0.484 2.979 0.000
-0.484 1.450 2.602
Ru Zr
2 2
direct
0.983 0.994 0.994
0.767 0.256 0.256
0.518 0.506 0.506
0.232 0.744 0.744

=====

Record 13
ZrRu PBE optimized geometry; magnetic moment = 0.0 μB per formula unit; energy of formation from the pure elements = -0.01 eV/atom; Fermi-level density of states = 0.7367 states/eV/atom
1.0
5.360 0.000 0.000
0.000 5.360 0.000
0.000 0.000 5.334
Zr Ru
4 4
direct
0.714 0.286 0.000
0.214 0.214 0.500
0.786 0.786 0.500
0.286 0.714 0.000
0.794 0.794 0.000
0.294 0.706 0.500
0.706 0.294 0.500
0.206 0.206 0.000